#one
Compound: GaFe3Bi
Source: Alexandria via LeMat-Bulk
Functional: PBE
Structure: relaxed

Lattice parameters (Å, degrees): 4.866 4.866 4.866 90.00 90.00 90.00
Fractional positions:
Ga 0.000 0.000 0.000
Fe 0.000 0.500 0.500
Fe 0.500 0.000 0.500
Fe 0.500 0.500 0.000
Bi 0.500 0.500 0.500

For the volume, the calculation gives 23.04 Å³ per atom. As for the crystal system: cubic.

***

#two
Compound: GaFe3Bi
Source: Alexandria via LeMat-Bulk
Functional: PBE
Structure: relaxed

Lattice parameters (Å, degrees): 4.522 4.522 4.522 90.00 90.00 90.00
Fractional positions:
Ga 0.000 0.000 0.000
Fe 0.000 0.000 0.500
Fe 0.000 0.500 0.000
Fe 0.500 0.000 0.000
Bi 0.500 0.500 0.500

For the volume, the calculation gives 18.50 Å³ per atom. As for the crystal system: cubic.

***

The energy of each structure relative to the most stable one, in kJ/mol of atoms, is as follows: #one 64.3; #two 0.0.

***

#one
Compound: Ga2FeHgBi
Source: Alexandria via LeMat-Bulk
Functional: PBE
Structure: relaxed

Lattice parameters (Å, degrees): 4.957 4.957 5.923 90.00 90.00 90.00
Fractional positions:
Ga 0.000 0.500 0.000
Ga 0.500 0.000 0.000
Fe 0.000 0.000 0.500
Hg 0.500 0.500 0.000
Bi 0.500 0.500 0.500

For the volume, the calculation gives 29.11 Å³ per atom. As for the crystal system: tetragonal.

***

#two
Compound: Ga2FeHgBi
Source: Alexandria via LeMat-Bulk
Functional: PBE
Structure: relaxed

Lattice parameters (Å, degrees): 4.708 4.708 5.120 90.00 90.00 90.00
Fractional positions:
Ga 0.000 0.500 0.000
Ga 0.500 0.000 0.000
Fe 0.000 0.000 0.000
Hg 0.500 0.500 0.500
Bi 0.000 0.000 0.500

For the volume, the calculation gives 22.70 Å³ per atom. As for the crystal system: tetragonal.

***

The energy of each structure relative to the most stable one, in kJ/mol of atoms, is as follows: #one 89.0; #two 0.0.